Entry from the Alexandria database: crystalline Dy12In5Hg2 at its relaxed geometry (GGA-PBE).

Unit cell a=17.2701 b=7.2020 c=9.1245 alpha=90.00 beta=97.73 gamma=90.00
Space group C2/m (No. 12)
Asymmetric unit:
Dy 0.0067 0.0000 0.1891 [4 per cell]
Dy 0.0432 0.5000 0.6944 [4 per cell]
Dy 0.1514 0.2472 0.0084 [8 per cell]
Dy 0.1606 0.2588 0.4203 [8 per cell]
In 0.0000 0.5000 0.0000 [2 per cell]
In 0.2000 0.0000 0.7358 [4 per cell]
In 0.2285 0.5000 0.7483 [4 per cell]
Hg 0.0000 0.1879 0.5000 [4 per cell]

Summary:
- total magnetization (μB per atom) = 0.00
- D(E_F) (states/eV/cell) = 40.6
- ΔE_f (eV/atom) = -0.1955

=====

Entry from the Alexandria database: crystalline DyInHg5 at its relaxed geometry (GGA-PBE).

Unit cell a=5.0522 b=5.0522 c=7.1338 alpha=90.00 beta=90.00 gamma=90.00
Space group P4/mmm (No. 123)
Asymmetric unit:
Dy 0.0000 0.0000 0.0000 [1 per cell]
In 0.0000 0.0000 0.5000 [1 per cell]
Hg 0.0000 0.5000 0.2703 [4 per cell]
Hg 0.5000 0.5000 0.0000 [1 per cell]

Summary:
- total magnetization (μB per atom) = 0.00
- D(E_F) (states/eV/cell) = 2.5
- ΔE_f (eV/atom) = -0.1912

=====

Among the records above, which one has the highest ΔE_f?
DyInHg5